Entry 1:
The following is a PBE calculation of a relaxed structure of Sr3GaSb, from the Alexandria database. Values from VASP.

```
&SYSTEM
  ibrav = 0, nat = 10, ntyp = 3
/
ATOMIC_SPECIES
Sr 87.62 Sr.upf
Ga 69.72 Ga.upf
Sb 121.76 Sb.upf
ATOMIC_POSITIONS angstrom
Sr 1.140 3.609 1.618
Sr 1.141 0.755 7.609
Sr 3.414 6.531 4.022
Sr 3.426 2.899 5.298
Sr 5.699 8.675 1.711
Sr 5.700 5.821 7.701
Ga 1.142 0.980 4.073
Ga 5.697 8.451 5.246
Sb 3.420 6.293 0.690
Sb 3.420 3.137 8.630
CELL_PARAMETERS angstrom
4.563 0.000 0.000
2.276 8.709 0.000
0.000 0.721 9.320
```

Computed properties:
**E_tot**: -3.056 eV/atom
**Space group**: No. 2
**Formation energy from raw total energies**: -14.23 kcal/mol of atoms



Entry 2:
The following is a PBE calculation of a relaxed structure of Er2Zn3Cd, from the Alexandria database. Values from VASP.

```
&SYSTEM
  ibrav = 0, nat = 12, ntyp = 3
/
ATOMIC_SPECIES
Er 167.26 Er.upf
Zn 65.41 Zn.upf
Cd 112.41 Cd.upf
ATOMIC_POSITIONS angstrom
Er 5.192 4.586 7.935
Er 1.725 2.293 3.967
Er 5.176 6.879 11.902
Er 1.709 4.586 7.935
Zn 3.450 4.586 2.576
Zn 3.450 2.235 6.645
Zn 3.450 2.235 9.225
Zn 3.450 6.936 6.645
Zn 3.450 6.936 9.225
Zn 3.450 4.586 13.293
Cd 3.450 4.586 5.297
Cd 3.450 4.586 10.572
CELL_PARAMETERS angstrom
0.000 4.586 7.935
3.450 0.000 7.935
3.450 4.586 0.000
```

Computed properties:
**E_tot**: -2.648 eV/atom
**Space group**: No. 69
**Formation energy from the elements**: -338 meV/atom